LiZrTa4N8: optimized geometry, GGA-PBE.

Properties
symmetry = R3m
spin magnetization = 0.00 Bohr magnetons per cell
VASP energy = -9.93 eV/atom

a b c (Å): 6.349 6.349 6.349
angles (deg): 58.90 58.90 58.90
Positions (direct):
Li  0.000  0.000  0.000
Zr  0.375  0.375  0.375
Ta  0.371  0.371  0.895
Ta  0.371  0.895  0.371
Ta  0.749  0.749  0.749
Ta  0.895  0.371  0.371
N  0.130  0.130  0.589
N  0.130  0.589  0.130
N  0.136  0.626  0.626
N  0.139  0.139  0.139
N  0.589  0.130  0.130
N  0.619  0.619  0.619
N  0.626  0.136  0.626
N  0.626  0.626  0.136